This record from Alexandria describes a geometry-optimized Y3Ga3Au structure. The functional is PBE. Values from VASP.

## Properties
electronic total energy = -5.27 eV/atom

Quantum ESPRESSO input file:
```
&SYSTEM
  ibrav = 0, nat = 14, ntyp = 3
/
ATOMIC_SPECIES
Y 88.91 Y.upf
Ga 69.72 Ga.upf
Au 196.97 Au.upf
ATOMIC_POSITIONS crystal
Y 0.036 0.036 0.380
Y 0.105 0.105 0.925
Y 0.238 0.238 0.226
Y 0.762 0.762 0.774
Y 0.895 0.895 0.075
Y 0.964 0.964 0.620
Ga 0.371 0.371 0.460
Ga 0.390 0.390 0.925
Ga 0.476 0.476 0.774
Ga 0.524 0.524 0.226
Ga 0.610 0.610 0.075
Ga 0.629 0.629 0.540
Au 0.253 0.253 0.613
Au 0.747 0.747 0.387
CELL_PARAMETERS angstrom
5.383 -2.204 0.000
5.383 2.204 0.000
-4.886 0.000 13.461
```